Entry 1:
Sm6Ir2SCl3 | PBE | optimized geometry

The calculation puts the formation energy without anion corrections at -1.359 eV per atom. The crystal system is monoclinic.

```
data_Sm6Ir2SCl3
_chemical_formula_sum 'Sm12 Ir4 S2 Cl6'
_symmetry_space_group_name_H-M 'C 1 2/m 1'
_symmetry_Int_Tables_number 12
_cell_length_a 7.164
_cell_length_b 12.420
_cell_length_c 7.593
_cell_angle_alpha 90.00
_cell_angle_beta 108.05
_cell_angle_gamma 90.00
loop_
_symmetry_equiv_pos_as_xyz
'x,y,z'
'-x,-y,-z'
'-x,y,-z'
'x,-y,z'
'x+1/2,y+1/2,z'
'-x+1/2,-y+1/2,-z'
'-x+1/2,y+1/2,-z'
'x+1/2,-y+1/2,z'
loop_
_atom_site_label
_atom_site_fract_x
_atom_site_fract_y
_atom_site_fract_z
_atom_site_occupancy
Sm1 0.219 0.000 0.206 1
Sm2 0.244 0.326 0.208 1
Ir1 0.000 0.168 0.000 1
S1 0.000 0.500 0.000 1
Cl1 0.000 0.000 0.500 1
Cl2 0.000 0.343 0.500 1
```

***

Entry 2:
Fe2ReOs | PBE | optimized geometry

The crystal system is tetragonal. The formation energy is 0.1879 eV/atom.

```
data_Fe2ReOs
_chemical_formula_sum 'Fe2 Re1 Os1'
_symmetry_space_group_name_H-M 'P 4/m m m'
_symmetry_Int_Tables_number 123
_symmetry_space_group_name_Hall '-P 4 2'
_cell_length_a 4.219
_cell_length_b 4.219
_cell_length_c 2.951
_cell_angle_alpha 90.00
_cell_angle_beta 90.00
_cell_angle_gamma 90.00
loop_
_atom_site_label
_atom_site_fract_x
_atom_site_fract_y
_atom_site_fract_z
_atom_site_occupancy
Fe1 0.000 0.500 0.000 1
Re1 0.000 0.000 0.500 1
Os1 0.500 0.500 0.500 1
```

***

Entry 3:
TmPbAu | PBE | optimized geometry

The crystal system is tetragonal. The formation energy is 0.1402 eV/atom.

```
data_TmPbAu
_chemical_formula_sum 'Tm2 Pb2 Au2'
_symmetry_space_group_name_H-M 'I 4 m m'
_symmetry_Int_Tables_number 107
_symmetry_space_group_name_Hall 'I 4 -2'
_cell_length_a 3.309
_cell_length_b 3.309
_cell_length_c 15.951
_cell_angle_alpha 90.00
_cell_angle_beta 90.00
_cell_angle_gamma 90.00
loop_
_atom_site_label
_atom_site_fract_x
_atom_site_fract_y
_atom_site_fract_z
_atom_site_occupancy
Tm1 0.000 0.000 0.000 1
Pb1 0.000 0.000 0.354 1
Au1 0.000 0.000 0.171 1
```

***

Entry 4:
Dy8FeSb2 | PBE | optimized geometry

The calculation puts the formation energy without anion corrections at -0.357 eV per atom. The crystal system is monoclinic.

```
data_Dy8FeSb2
_chemical_formula_sum 'Dy16 Fe2 Sb4'
_symmetry_space_group_name_H-M 'C 1 2/m 1'
_symmetry_Int_Tables_number 12
_cell_length_a 18.958
_cell_length_b 4.539
_cell_length_c 7.219
_cell_angle_alpha 90.00
_cell_angle_beta 97.18
_cell_angle_gamma 90.00
loop_
_symmetry_equiv_pos_as_xyz
'x,y,z'
'-x,-y,-z'
'-x,y,-z'
'x,-y,z'
'x+1/2,y+1/2,z'
'-x+1/2,-y+1/2,-z'
'-x+1/2,y+1/2,-z'
'x+1/2,-y+1/2,z'
loop_
_atom_site_label
_atom_site_fract_x
_atom_site_fract_y
_atom_site_fract_z
_atom_site_occupancy
Dy1 0.002 0.000 0.281 1
Dy2 0.094 0.500 0.014 1
Dy3 0.134 0.500 0.533 1
Dy4 0.216 0.000 0.842 1
Fe1 0.000 0.500 0.500 1
Sb1 0.181 0.000 0.271 1
```

***

Entry 5:
CdIrPt3 | PBE | optimized geometry

The crystal system is cubic. The formation energy is 1.0702 eV/atom. Its offset from the most stable computed form is 0.0 meV/atom.

```
data_CdIrPt3
_chemical_formula_sum 'Cd1 Ir1 Pt3'
_symmetry_space_group_name_H-M 'P m -3 m'
_symmetry_Int_Tables_number 221
_symmetry_space_group_name_Hall '-P 4 2 3'
_cell_length_a 4.863
_cell_length_b 4.863
_cell_length_c 4.863
_cell_angle_alpha 90.00
_cell_angle_beta 90.00
_cell_angle_gamma 90.00
loop_
_atom_site_label
_atom_site_fract_x
_atom_site_fract_y
_atom_site_fract_z
_atom_site_occupancy
Cd1 0.000 0.000 0.000 1
Ir1 0.500 0.500 0.500 1
Pt1 0.000 0.500 0.500 1
```

***

Entry 6:
Ag4Ge3Te8 | PBE | optimized geometry

The calculation puts the formation energy without anion corrections at 0.027 eV per atom. The crystal system is trigonal.

```
data_Ag4Ge3Te8
_chemical_formula_sum 'Ag12 Ge9 Te24'
_symmetry_space_group_name_H-M 'R -3 m'
_symmetry_Int_Tables_number 166
_symmetry_space_group_name_Hall '-R 3 2"'
_cell_length_a 8.2896
_cell_length_b 8.2896
_cell_length_c 21.5762
_cell_angle_alpha 90.00
_cell_angle_beta 90.00
_cell_angle_gamma 120.00
loop_
_atom_site_label
_atom_site_fract_x
_atom_site_fract_y
_atom_site_fract_z
_atom_site_occupancy
Ag1 0.0000 0.0000 0.0000 1
Ag2 0.0000 0.0000 0.1335 1
Ag3 0.0000 0.0000 0.5000 1
Ge1 0.0000 0.5000 0.0000 1
Te1 0.0000 0.0000 0.2585 1
Te2 0.0202 0.5101 0.2549 1
```

***

Entry 7:
CaB2Rh2 | PBE | optimized geometry

The crystal system is orthorhombic. The formation energy is -0.6079 eV/atom.

```
data_CaB2Rh2
_chemical_formula_sum 'Ca8 B16 Rh16'
_symmetry_space_group_name_H-M 'F d d d'
_symmetry_Int_Tables_number 70
_cell_length_a 5.971
_cell_length_b 9.274
_cell_length_c 10.574
_cell_angle_alpha 90.00
_cell_angle_beta 90.00
_cell_angle_gamma 90.00
loop_
_symmetry_equiv_pos_as_xyz
'x,y,z'
'-x,-y,-z'
'-x+1/4,-y+1/4,z'
'x+1/4,y+1/4,-z'
'x,-y+1/4,-z+1/4'
'-x,y+1/4,z+1/4'
'-x+1/4,y,-z+1/4'
'x+1/4,-y,z+1/4'
'x,y+1/2,z+1/2'
'-x,-y+1/2,-z+1/2'
'-x+1/4,-y+3/4,z+1/2'
'x+1/4,y+3/4,-z+1/2'
'x,-y+3/4,-z+3/4'
'-x,y+3/4,z+3/4'
'-x+1/4,y+1/2,-z+3/4'
'x+1/4,-y+1/2,z+3/4'
'x+1/2,y,z+1/2'
'-x+1/2,-y,-z+1/2'
'-x+3/4,-y+1/4,z+1/2'
'x+3/4,y+1/4,-z+1/2'
'x+1/2,-y+1/4,-z+3/4'
'-x+1/2,y+1/4,z+3/4'
'-x+3/4,y,-z+3/4'
'x+3/4,-y,z+3/4'
'x+1/2,y+1/2,z'
'-x+1/2,-y+1/2,-z'
'-x+3/4,-y+3/4,z'
'x+3/4,y+3/4,-z'
'x+1/2,-y+3/4,-z+1/4'
'-x+1/2,y+3/4,z+1/4'
'-x+3/4,y+1/2,-z+1/4'
'x+3/4,-y+1/2,z+1/4'
loop_
_atom_site_label
_atom_site_fract_x
_atom_site_fract_y
_atom_site_fract_z
_atom_site_occupancy
Ca1 0.125 0.125 0.125 1
B1 0.125 0.302 0.625 1
Rh1 0.125 0.125 0.494 1
```

***

Entry 8:
ZnFe2Cu2 | PBE | optimized geometry

The crystal system is tetragonal. The formation energy is 0.2873 eV/atom. Its offset from the most stable computed form is 0.0 meV/atom.

```
data_ZnFe2Cu2
_chemical_formula_sum 'Zn2 Fe4 Cu4'
_symmetry_space_group_name_H-M 'P 4/m b m'
_symmetry_Int_Tables_number 127
_symmetry_space_group_name_Hall '-P 4 2ab'
_cell_length_a 7.106
_cell_length_b 7.106
_cell_length_c 2.615
_cell_angle_alpha 90.00
_cell_angle_beta 90.00
_cell_angle_gamma 90.00
loop_
_atom_site_label
_atom_site_fract_x
_atom_site_fract_y
_atom_site_fract_z
_atom_site_occupancy
Zn1 0.000 0.000 0.000 1
Fe1 0.123 0.377 0.500 1
Cu1 0.171 0.671 0.000 1
```

***

Values of DFT total energy, in order: -144.0; -39.9; -22.1; -114.9; -22.5; -150.0; -264.8; -49.9, all in eV/cell.
Values of magnetization, in order: 0.000; 1.298; 0.046; 0.000; 0.029; 0.000; 0.000; 1.097, all in μB/atom.